[1]
{
  "formula": "BeSeF2",
  "functional": "PBE-GGA",
  "state": "relaxed",
  "e_form_raw_ev_per_fu": -7.650,
  "space_group": "Fd-3m",
  "magmom_total_mub_per_fu": 0.0,
  "de_polymorph_mev_per_atom": 108,
  "cell": [[0.0000, 3.6952, 3.6952], [3.6952, 0.0000, 3.6952], [3.6952, 3.6952, 0.0000]],
  "species": ["Be", "Be", "Se", "Se", "F", "F", "F", "F"],
  "frac_coords": [[0.1250, 0.1250, 0.1250], [0.8750, 0.8750, 0.8750], [0.3750, 0.3750, 0.3750], [0.6250, 0.6250, 0.6250], [0.0000, 0.0000, 0.0000], [0.0000, 0.0000, 0.5000], [0.0000, 0.5000, 0.0000], [0.5000, 0.0000, 0.0000]]
}


[2]
{
  "formula": "P2OsPb",
  "functional": "PBE-GGA",
  "state": "relaxed",
  "space_group": "R3m",
  "magmom_total_mub_per_fu": 0.0,
  "e_tot_ev_per_cell": -24.0,
  "cell": [[1.5442, 0.8916, 8.9364], [-1.5442, 0.8916, 8.9364], [0.0000, -1.7831, 8.9364]],
  "species": ["P", "P", "Os", "Pb"],
  "frac_coords": [[0.0000, 0.0000, 0.0000], [0.2744, 0.2744, 0.2744], [0.5474, 0.5474, 0.5474], [0.7871, 0.7871, 0.7871]]
}


[3]
{
  "formula": "YVIn2Rh",
  "functional": "PBE-GGA",
  "state": "relaxed",
  "space_group": "P4/mmm",
  "magmom_total_mub_per_fu": 0.1,
  "e_tot_ev_per_cell": -27.5,
  "cell": [[5.1169, 0.0000, 0.0000], [0.0000, 5.1169, 0.0000], [0.0000, 0.0000, 4.4754]],
  "species": ["Y", "V", "In", "In", "Rh"],
  "frac_coords": [[0.0000, 0.0000, 0.0000], [0.5000, 0.5000, 0.5000], [0.0000, 0.5000, 0.5000], [0.5000, 0.0000, 0.5000], [0.5000, 0.5000, 0.0000]]
}


[4]
{
  "formula": "SrCd12Pd4",
  "functional": "PBE-GGA",
  "state": "relaxed",
  "space_group": "Im-3",
  "magmom_total_mub_per_fu": 0.0,
  "e_tot_ev_per_cell": -34.5,
  "cell": [[-4.7798, 4.7798, 4.7798], [4.7798, -4.7798, 4.7798], [4.7798, 4.7798, -4.7798]],
  "species": ["Sr", "Cd", "Cd", "Cd", "Cd", "Cd", "Cd", "Cd", "Cd", "Cd", "Cd", "Cd", "Cd", "Pd", "Pd", "Pd", "Pd"],
  "frac_coords": [[0.0000, 0.0000, 0.0000], [0.1621, 0.3453, 0.5074], [0.1621, 0.6547, 0.8167], [0.1833, 0.8379, 0.3453], [0.3453, 0.1833, 0.8379], [0.3453, 0.5074, 0.1621], [0.4926, 0.8379, 0.6547], [0.5074, 0.1621, 0.3453], [0.6547, 0.4926, 0.8379], [0.6547, 0.8167, 0.1621], [0.8167, 0.1621, 0.6547], [0.8379, 0.3453, 0.1833], [0.8379, 0.6547, 0.4926], [0.0000, 0.0000, 0.5000], [0.0000, 0.5000, 0.0000], [0.5000, 0.0000, 0.0000], [0.5000, 0.5000, 0.5000]]
}


[5]
{
  "formula": "Sr8Mg2Hg",
  "functional": "PBE-GGA",
  "state": "relaxed",
  "space_group": "C2/m",
  "magmom_total_mub_per_fu": 0.0,
  "de_polymorph_mev_per_atom": 0,
  "cell": [[10.4643, -2.9994, 0.0000], [10.4643, 2.9994, 0.0000], [-2.5008, 0.0000, 7.6776]],
  "species": ["Sr", "Sr", "Sr", "Sr", "Sr", "Sr", "Sr", "Sr", "Mg", "Mg", "Hg"],
  "frac_coords": [[0.0234, 0.0234, 0.2863], [0.2054, 0.2054, 0.8007], [0.3436, 0.3436, 0.5381], [0.4062, 0.4062, 0.0635], [0.5938, 0.5938, 0.9365], [0.6564, 0.6564, 0.4619], [0.7946, 0.7946, 0.1993], [0.9766, 0.9766, 0.7137], [0.1816, 0.1816, 0.2156], [0.8184, 0.8184, 0.7844], [0.5000, 0.5000, 0.5000]]
}


[6]
{
  "formula": "Sb2PbAu",
  "functional": "PBE-GGA",
  "state": "relaxed",
  "e_form_raw_ev_per_fu": -0.085,
  "space_group": "P2/m",
  "magmom_total_mub_per_fu": 0.0,
  "cell": [[5.1804, 0.0000, 0.0000], [0.0000, 4.2561, 0.0000], [-1.6671, 0.0000, 5.1007]],
  "species": ["Sb", "Sb", "Pb", "Au"],
  "frac_coords": [[0.2298, 0.0000, 0.3060], [0.7702, 0.0000, 0.6940], [0.5000, 0.5000, 0.0000], [0.0000, 0.5000, 0.5000]]
}